No. 1
Compound: DyErHfN3
Source: Alexandria
Functional: PBE
Structure: relaxed

a b c (Å): 5.6983 3.3285 8.7977
angles (deg): 90.00 100.80 90.00
Last column: nearest neighbours and their distance in Å.
Atoms (fractional coordinates):
Dy  0.1661  0.2500  0.2030  7 N 2.47-2.74
Dy  0.8339  0.7500  0.7970  7 N 2.47-2.74
Er  0.3457  0.2500  0.8617  5 N 2.26-2.37
Er  0.6543  0.7500  0.1383  5 N 2.26-2.37
Hf  0.2652  0.7500  0.5436  6 N 2.17-2.38
Hf  0.7348  0.2500  0.4564  6 N 2.17-2.38
N  0.0415  0.2500  0.6481  3 Hf 2.19-2.38, 1 Er 2.31
N  0.2478  0.7500  0.0127  3 Er 2.26-2.37, 2 Dy 2.47
N  0.4684  0.7500  0.3579  3 Hf 2.17-2.31, 1 Er 2.37
N  0.5316  0.2500  0.6421  3 Hf 2.17-2.31, 1 Er 2.37
N  0.7522  0.2500  0.9873  3 Er 2.26-2.37, 2 Dy 2.47
N  0.9585  0.7500  0.3519  3 Hf 2.19-2.38, 1 Er 2.31

- Total moment: 0.00 μB/cell
- Space-group type: P2_1/m
- ρ: 11149 kg/m³
- Crystal system: monoclinic
- E_tot: -8.89 eV/atom
- ΔE_f (raw): -1541 meV per atom



No. 2
Compound: Dy2ErHfP4
Source: Alexandria
Functional: PBE
Structure: relaxed

a b c (Å): 6.7686 3.9028 6.7723
angles (deg): 90.00 109.26 90.00
Last column: nearest neighbours and their distance in Å.
Atoms (fractional coordinates):
Dy  0.0000  0.0000  0.0000  6 P 2.84
Dy  0.5000  0.5000  0.0000  6 P 2.77-2.78
Er  0.0000  0.5000  0.5000  6 P 2.75-2.76
Hf  0.5000  0.0000  0.5000  6 P 2.68-2.69
P  0.2556  0.0000  0.7411  1 Hf 2.68, 2 Er 2.76, 3 Dy 2.78-2.84
P  0.2625  0.5000  0.2641  2 Hf 2.69, 1 Er 2.75, 3 Dy 2.77-2.84
P  0.7375  0.5000  0.7359  2 Hf 2.69, 1 Er 2.75, 3 Dy 2.77-2.84
P  0.7444  0.0000  0.2589  1 Hf 2.68, 2 Er 2.76, 3 Dy 2.78-2.84

- Total moment: 0.00 μB/cell
- Space-group type: P2/m
- E_form: -1.538 eV per atom
- ρ: 7813 kg/m³
- Crystal system: monoclinic
- E_tot: -7.21 eV/atom



No. 3
Compound: DyErHfTh
Source: Alexandria
Functional: PBE
Structure: relaxed

a b c (Å): 5.4496 5.4496 5.4496
angles (deg): 60.00 60.00 60.00
Last column: nearest neighbours and their distance in Å.
Atoms (fractional coordinates):
Dy  0.0000  0.0000  0.0000  4 Er 3.34, 4 Hf 3.34
Er  0.7500  0.7500  0.7500  4 Th 3.34, 4 Dy 3.34
Hf  0.2500  0.2500  0.2500  4 Th 3.34, 4 Dy 3.34
Th  0.5000  0.5000  0.5000  4 Hf 3.34, 4 Er 3.34

- Total moment: 0.00 μB/cell
- Space-group type: F-43m
- E_form: 0.199 eV per atom
- ρ: 10742 kg/m³
- Crystal system: cubic
- E_tot: -6.44 eV/atom